Record 1
The following is a DFT calculation (GGA-PBE) of an optimized crystal structure of LaOsN2.

The structure in POSCAR format:
```
LaOsN2
1.0
1.960 1.131 5.772
-1.960 1.131 5.772
0.000 -2.263 5.772
La Os N
1 1 2
Direct
0.000 0.000 0.000
0.500 0.500 0.500
0.396 0.396 0.396
0.604 0.604 0.604
```

Calculated values
The space-group type is R-3m (166). For the total magnetization, the calculation gives 0.00 Bohr magnetons per cell. The value obtained for the uncorrected formation energy is -164.1 meV per atom.

=====

Record 2
The following is a DFT calculation (GGA-PBE) of an optimized crystal structure of BaCoIr3.

The structure in POSCAR format:
```
BaCoIr3
1.0
4.666 0.000 0.000
0.000 4.666 0.000
0.000 0.000 4.666
Ba Co Ir
1 1 3
Direct
0.000 0.000 0.000
0.500 0.500 0.500
0.000 0.500 0.500
0.500 0.000 0.500
0.500 0.500 0.000
```

Calculated values
The space-group type is Pm-3m (221). For the total magnetization, the calculation gives 0.00 Bohr magnetons per cell. The value obtained for the formation energy is 0.910 eV/atom.

=====

Record 3
The following is a DFT calculation (GGA-PBE) of an optimized crystal structure of PmGdScPa.

The structure in POSCAR format:
```
PmGdScPa
1.0
0.000 3.882 3.882
3.882 0.000 3.882
3.882 3.882 0.000
Pm Gd Sc Pa
1 1 1 1
Direct
0.000 0.000 0.000
0.500 0.500 0.500
0.250 0.250 0.250
0.750 0.750 0.750
```

Calculated values
The space-group type is F-43m (216). For the total magnetization, the calculation gives 10.78 Bohr magnetons per cell. The value obtained for the formation energy is 0.345 eV/atom.

=====

Record 4
The following is a DFT calculation (GGA-PBE) of an optimized crystal structure of LaTbPmTl.

The structure in POSCAR format:
```
LaTbPmTl
1.0
0.000 3.968 3.968
3.968 0.000 3.968
3.968 3.968 0.000
La Tb Pm Tl
1 1 1 1
Direct
0.000 0.000 0.000
0.500 0.500 0.500
0.750 0.750 0.750
0.250 0.250 0.250
```

Calculated values
The space-group type is F-43m (216). For the total magnetization, the calculation gives 1.44 Bohr magnetons per cell. The value obtained for the formation energy is -0.057 eV/atom.

=====

Record 5
The following is a DFT calculation (GGA-PBE) of an optimized crystal structure of Fe2RhW.

The structure in POSCAR format:
```
Fe2RhW
1.0
1.566 -2.131 0.000
1.566 2.131 0.000
0.000 0.000 8.275
Fe Rh W
2 1 1
Direct
0.000 0.000 0.246
0.000 0.000 0.754
0.500 0.500 0.000
0.500 0.500 0.500
```

Calculated values
The space-group type is Cmmm (65). For the total magnetization, the calculation gives 5.77 Bohr magnetons per cell. The value obtained for the formation energy is 0.133 eV/atom.

=====

Record 6
The following is a DFT calculation (GGA-PBE) of an optimized crystal structure of MnZn2I.

The structure in POSCAR format:
```
MnZn2I
1.0
-4.066 4.066 2.808
4.066 -4.066 2.808
4.066 4.066 -2.808
Mn Zn I
2 4 2
Direct
0.000 0.000 0.000
0.750 0.250 0.500
0.089 0.625 0.964
0.375 0.339 0.464
0.661 0.125 0.036
0.875 0.911 0.536
0.250 0.750 0.500
0.500 0.500 0.000
```

Calculated values
The space-group type is I-42d (122). For the total magnetization, the calculation gives 8.68 Bohr magnetons per cell. The value obtained for the uncorrected formation energy is 408.9 meV per atom.